#i
{
  "formula": "ScTl2Tc",
  "functional": "PBE",
  "state": "optimized geometry",
  "lattice_angstrom": [[-0.2983, 9.7736, -1.4423], [-2.9785, 8.8782, -3.1619], [-3.1919, 9.3538, 0.1047]],
  "species": ["Sc", "Tc", "Tl", "Tl"],
  "frac_coords": [[0.4851, 0.4851, 0.4851], [0.7557, 0.7557, 0.7557], [0.0127, 0.0127, 0.0127], [0.2464, 0.2464, 0.2464]],
  "m_tot_mub_per_cell": 0.00,
  "space_group": "R3m (160)",
  "vol_a3_per_fu": 92
}

#ii
{
  "formula": "ScTl2Tc",
  "functional": "PBE",
  "state": "optimized geometry",
  "lattice_angstrom": [[7.8904, 0.0000, 0.0000], [0.0000, 7.8904, 0.0000], [3.9452, 3.9452, 2.9538]],
  "species": ["Sc", "Sc", "Tl", "Tl", "Tl", "Tl", "Tc", "Tc"],
  "frac_coords": [[0.5000, 0.5000, 0.0000], [0.2500, 0.7500, 0.5000], [0.6472, 0.1250, 0.2500], [0.1028, 0.6250, 0.2500], [0.3750, 0.3528, 0.7500], [0.8750, 0.8972, 0.7500], [0.0000, 0.0000, 0.0000], [0.7500, 0.2500, 0.5000]],
  "m_tot_mub_per_cell": 2.01,
  "space_group": "I-42d (122)",
  "vol_a3_per_fu": 92
}

It is #ii that is the least stable of them.

#i
{
  "formula": "ScTl2Tc",
  "functional": "PBE",
  "state": "optimized geometry",
  "lattice_angstrom": [[-0.2980, 2.8605, 4.3246], [2.0526, 0.1229, 4.7692], [3.7775, 3.2292, -0.0878]],
  "species": ["Sc", "Tc", "Tl", "Tl"],
  "frac_coords": [[0.7500, 0.7500, 0.7500], [0.2500, 0.2500, 0.2500], [0.9911, 0.9911, 0.0163], [0.5089, 0.5089, 0.4837]],
  "m_tot_mub_per_cell": 0.00,
  "space_group": "C2/m (12)",
  "vol_a3_per_fu": 83
}

#ii
{
  "formula": "ScTl2Tc",
  "functional": "PBE",
  "state": "optimized geometry",
  "lattice_angstrom": [[0.4806, -4.5664, 1.5409], [-3.1925, -1.8448, 3.1403], [-3.1421, -3.3884, -1.4500]],
  "species": ["Sc", "Tl", "Tl", "Tc"],
  "frac_coords": [[0.0000, 0.0000, 0.0000], [0.2500, 0.2500, 0.2500], [0.7500, 0.7500, 0.7500], [0.5000, 0.5000, 0.5000]],
  "m_tot_mub_per_cell": 0.00,
  "space_group": "Fm-3m (225)",
  "vol_a3_per_fu": 80
}

#iii
{
  "formula": "ScTl2Tc",
  "functional": "PBE",
  "state": "optimized geometry",
  "lattice_angstrom": [[-1.9889, -2.3730, -1.8315], [-1.6297, -1.0243, 3.0969], [-4.3982, 4.3598, -0.8726]],
  "species": ["Sc", "Tc", "Tl", "Tl"],
  "frac_coords": [[0.5000, 0.5000, 0.2500], [0.5000, 0.5000, 0.7500], [0.0000, 0.0000, 0.9862], [0.0000, 0.0000, 0.5138]],
  "m_tot_mub_per_cell": 0.33,
  "space_group": "Pmmm (47)",
  "vol_a3_per_fu": 82
}

It is #iii that is the least stable of them.